--- i ---
# NaTl3Ir PBE-GGA optimized geometry
data_NaTl3Ir
_chemical_formula_sum 'Na1 Tl3 Ir1'
_cell_length_a 5.3327
_cell_length_b 5.3327
_cell_length_c 5.3327
_cell_angle_alpha 90.00
_cell_angle_beta 90.00
_cell_angle_gamma 90.00
_space_group_name_H-M_alt 'P 1'
_space_group_IT_number 1
_space_group_name_Hall 'P 1'
loop_
_atom_site_label
_atom_site_type_symbol
_atom_site_fract_x
_atom_site_fract_y
_atom_site_fract_z
Tl1 Tl 0.0000 0.0000 0.5000
Tl2 Tl 0.5000 0.0000 0.0000
Tl3 Tl 0.0000 0.5000 0.0000
Na1 Na 0.5000 0.5000 0.5000
Ir1 Ir 0.0000 0.0000 0.0000
# Total magnetic moment (μB/f.u.): 0.00
# Space-group type: Pm-3m

---

--- ii ---
# NaTl3Ir PBE-GGA optimized geometry
data_NaTl3Ir
_chemical_formula_sum 'Na1 Tl3 Ir1'
_cell_length_a 5.3133
_cell_length_b 5.3133
_cell_length_c 5.3133
_cell_angle_alpha 90.00
_cell_angle_beta 90.00
_cell_angle_gamma 90.00
_space_group_name_H-M_alt 'P 1'
_space_group_IT_number 1
_space_group_name_Hall 'P 1'
loop_
_atom_site_label
_atom_site_type_symbol
_atom_site_fract_x
_atom_site_fract_y
_atom_site_fract_z
Tl1 Tl 0.0000 0.5000 0.0000
Tl2 Tl 0.5000 0.0000 0.0000
Tl3 Tl 0.0000 0.0000 0.5000
Na1 Na 0.0000 0.0000 0.0000
Ir1 Ir 0.5000 0.5000 0.5000
# Total magnetic moment (μB/f.u.): 0.00
# Space-group type: Pm-3m

---

i ends up most stable, edging out the next structure by 1130 meV per atom.